# 1
# Mg2RuOF PBE optimized geometry
# N(E_F) ... 0.586 states/eV per atom
# Uncorrected formation energy ... -3.7 eV/f.u.
# Calculated volume ... 78.16 Å³/f.u.
# Raw total energy ... -23.0 eV/f.u.
# Total magnetization ... 0.00 μB/atom
data_Mg2RuOF
_space_group_name_H-M_alt 'P 1'
_space_group_IT_number 1
_cell_length_a 4.560
_cell_length_b 3.758
_cell_length_c 4.560
_cell_angle_alpha 90.00
_cell_angle_beta 90.00
_cell_angle_gamma 90.00
loop_
_space_group_symop_operation_xyz
'x,y,z'
loop_
_atom_site_label
_atom_site_type_symbol
_atom_site_fract_x
_atom_site_fract_y
_atom_site_fract_z
_atom_site_occupancy
Mg1 Mg 0.000 0.000 0.500 1
Mg2 Mg 0.500 0.000 0.000 1
O1 O 0.000 0.000 0.000 1
F1 F 0.500 0.500 0.500 1
Ru1 Ru 0.000 0.500 0.000 1

***

# 2
# MgRuO2F PBE optimized geometry
# N(E_F) ... 0.398 states/eV per atom
# Uncorrected formation energy ... -5.3 eV/f.u.
# Calculated volume ... 64.46 Å³/f.u.
# Raw total energy ... -28.0 eV/f.u.
# Total magnetization ... 0.39 μB/atom
data_MgRuO2F
_space_group_name_H-M_alt 'P 1'
_space_group_IT_number 1
_cell_length_a 3.926
_cell_length_b 3.926
_cell_length_c 4.183
_cell_angle_alpha 90.00
_cell_angle_beta 90.00
_cell_angle_gamma 90.00
loop_
_space_group_symop_operation_xyz
'x,y,z'
loop_
_atom_site_label
_atom_site_type_symbol
_atom_site_fract_x
_atom_site_fract_y
_atom_site_fract_z
_atom_site_occupancy
O1 O 0.000 0.500 0.000 1
O2 O 0.500 0.000 0.000 1
Mg1 Mg 0.500 0.500 0.500 1
F1 F 0.000 0.000 0.500 1
Ru1 Ru 0.000 0.000 0.000 1

***

# 3
# MgRuO2F PBE optimized geometry
# N(E_F) ... 0.644 states/eV per atom
# Uncorrected formation energy ... -4.4 eV/f.u.
# Calculated volume ... 57.53 Å³/f.u.
# Raw total energy ... -27.0 eV/f.u.
# Total magnetization ... 0.93 μB/atom
data_MgRuO2F
_space_group_name_H-M_alt 'P 1'
_space_group_IT_number 1
_cell_length_a 3.958
_cell_length_b 3.958
_cell_length_c 3.672
_cell_angle_alpha 90.00
_cell_angle_beta 90.00
_cell_angle_gamma 90.00
loop_
_space_group_symop_operation_xyz
'x,y,z'
loop_
_atom_site_label
_atom_site_type_symbol
_atom_site_fract_x
_atom_site_fract_y
_atom_site_fract_z
_atom_site_occupancy
O1 O 0.000 0.500 0.000 1
O2 O 0.500 0.000 0.000 1
F1 F 0.000 0.000 0.500 1
Ru1 Ru 0.500 0.500 0.500 1
Mg1 Mg 0.000 0.000 0.000 1

***

# 4
# MgSO2F PBE optimized geometry
# N(E_F) ... 0.408 states/eV per atom
# Uncorrected formation energy ... -3.0 eV/f.u.
# Calculated volume ... 58.44 Å³/f.u.
# Raw total energy ... -20.5 eV/f.u.
# Total magnetization ... 0.00 μB/atom
data_MgSO2F
_space_group_name_H-M_alt 'P 1'
_space_group_IT_number 1
_cell_length_a 4.012
_cell_length_b 4.012
_cell_length_c 3.631
_cell_angle_alpha 90.00
_cell_angle_beta 90.00
_cell_angle_gamma 90.00
loop_
_space_group_symop_operation_xyz
'x,y,z'
loop_
_atom_site_label
_atom_site_type_symbol
_atom_site_fract_x
_atom_site_fract_y
_atom_site_fract_z
_atom_site_occupancy
O1 O 0.500 0.000 0.000 1
O2 O 0.000 0.500 0.000 1
S1 S 0.500 0.500 0.500 1
F1 F 0.000 0.000 0.500 1
Mg1 Mg 0.000 0.000 0.000 1

***

# 5
# MgSO2F PBE optimized geometry
# N(E_F) ... 0.235 states/eV per atom
# Uncorrected formation energy ... -3.8 eV/f.u.
# Calculated volume ... 65.01 Å³/f.u.
# Raw total energy ... -21.3 eV/f.u.
# Total magnetization ... 0.00 μB/atom
data_MgSO2F
_space_group_name_H-M_alt 'P 1'
_space_group_IT_number 1
_cell_length_a 3.584
_cell_length_b 3.584
_cell_length_c 5.061
_cell_angle_alpha 90.00
_cell_angle_beta 90.00
_cell_angle_gamma 90.00
loop_
_space_group_symop_operation_xyz
'x,y,z'
loop_
_atom_site_label
_atom_site_type_symbol
_atom_site_fract_x
_atom_site_fract_y
_atom_site_fract_z
_atom_site_occupancy
O1 O 0.500 0.000 0.000 1
O2 O 0.000 0.500 0.000 1
F1 F 0.000 0.000 0.500 1
S1 S 0.000 0.000 0.000 1
Mg1 Mg 0.500 0.500 0.500 1

***

# 6
# MgSOF2 PBE optimized geometry
# N(E_F) ... 0.513 states/eV per atom
# Uncorrected formation energy ... -4.1 eV/f.u.
# Calculated volume ... 74.53 Å³/f.u.
# Raw total energy ... -18.6 eV/f.u.
# Total magnetization ... 0.00 μB/atom
data_MgSOF2
_space_group_name_H-M_alt 'P 1'
_space_group_IT_number 1
_cell_length_a 4.666
_cell_length_b 4.666
_cell_length_c 3.424
_cell_angle_alpha 90.00
_cell_angle_beta 90.00
_cell_angle_gamma 90.00
loop_
_space_group_symop_operation_xyz
'x,y,z'
loop_
_atom_site_label
_atom_site_type_symbol
_atom_site_fract_x
_atom_site_fract_y
_atom_site_fract_z
_atom_site_occupancy
S1 S 0.000 0.000 0.000 1
Mg1 Mg 0.500 0.500 0.500 1
F1 F 0.500 0.000 0.000 1
F2 F 0.000 0.500 0.000 1
O1 O 0.000 0.000 0.500 1

***

# 7
# MgSOF2 PBE optimized geometry
# N(E_F) ... 0.365 states/eV per atom
# Uncorrected formation energy ... -6.4 eV/f.u.
# Calculated volume ... 62.85 Å³/f.u.
# Raw total energy ... -20.8 eV/f.u.
# Total magnetization ... 0.30 μB/atom
data_MgSOF2
_space_group_name_H-M_alt 'P 1'
_space_group_IT_number 1
_cell_length_a 3.704
_cell_length_b 3.704
_cell_length_c 4.581
_cell_angle_alpha 90.00
_cell_angle_beta 90.00
_cell_angle_gamma 90.00
loop_
_space_group_symop_operation_xyz
'x,y,z'
loop_
_atom_site_label
_atom_site_type_symbol
_atom_site_fract_x
_atom_site_fract_y
_atom_site_fract_z
_atom_site_occupancy
F1 F 0.500 0.000 0.000 1
F2 F 0.000 0.500 0.000 1
Mg1 Mg 0.000 0.000 0.000 1
S1 S 0.500 0.500 0.500 1
O1 O 0.000 0.000 0.500 1

***

# 8
# MgSbOF2 PBE optimized geometry
# N(E_F) ... 0.257 states/eV per atom
# Uncorrected formation energy ... -6.7 eV/f.u.
# Calculated volume ... 89.37 Å³/f.u.
# Raw total energy ... -21.2 eV/f.u.
# Total magnetization ... 0.16 μB/atom
data_MgSbOF2
_space_group_name_H-M_alt 'P 1'
_space_group_IT_number 1
_cell_length_a 4.570
_cell_length_b 4.570
_cell_length_c 4.279
_cell_angle_alpha 90.00
_cell_angle_beta 90.00
_cell_angle_gamma 90.00
loop_
_space_group_symop_operation_xyz
'x,y,z'
loop_
_atom_site_label
_atom_site_type_symbol
_atom_site_fract_x
_atom_site_fract_y
_atom_site_fract_z
_atom_site_occupancy
Mg1 Mg 0.500 0.500 0.500 1
O1 O 0.000 0.000 0.500 1
Sb1 Sb 0.000 0.000 0.000 1
F1 F 0.500 0.000 0.000 1
F2 F 0.000 0.500 0.000 1

***

Which of these has the lowest raw total energy? number 2

***

Repeat the fifth record exactly.
# MgSO2F PBE optimized geometry
# N(E_F) ... 0.235 states/eV per atom
# Uncorrected formation energy ... -3.8 eV/f.u.
# Calculated volume ... 65.01 Å³/f.u.
# Raw total energy ... -21.3 eV/f.u.
# Total magnetization ... 0.00 μB/atom
data_MgSO2F
_space_group_name_H-M_alt 'P 1'
_space_group_IT_number 1
_cell_length_a 3.584
_cell_length_b 3.584
_cell_length_c 5.061
_cell_angle_alpha 90.00
_cell_angle_beta 90.00
_cell_angle_gamma 90.00
loop_
_space_group_symop_operation_xyz
'x,y,z'
loop_
_atom_site_label
_atom_site_type_symbol
_atom_site_fract_x
_atom_site_fract_y
_atom_site_fract_z
_atom_site_occupancy
O1 O 0.500 0.000 0.000 1
O2 O 0.000 0.500 0.000 1
F1 F 0.000 0.000 0.500 1
S1 S 0.000 0.000 0.000 1
Mg1 Mg 0.500 0.500 0.500 1

***

Which of these has the lowest raw total energy? number 2

***

What did the second record say?
# MgRuO2F PBE optimized geometry
# N(E_F) ... 0.398 states/eV per atom
# Uncorrected formation energy ... -5.3 eV/f.u.
# Calculated volume ... 64.46 Å³/f.u.
# Raw total energy ... -28.0 eV/f.u.
# Total magnetization ... 0.39 μB/atom
data_MgRuO2F
_space_group_name_H-M_alt 'P 1'
_space_group_IT_number 1
_cell_length_a 3.926
_cell_length_b 3.926
_cell_length_c 4.183
_cell_angle_alpha 90.00
_cell_angle_beta 90.00
_cell_angle_gamma 90.00
loop_
_space_group_symop_operation_xyz
'x,y,z'
loop_
_atom_site_label
_atom_site_type_symbol
_atom_site_fract_x
_atom_site_fract_y
_atom_site_fract_z
_atom_site_occupancy
O1 O 0.000 0.500 0.000 1
O2 O 0.500 0.000 0.000 1
Mg1 Mg 0.500 0.500 0.500 1
F1 F 0.000 0.000 0.500 1
Ru1 Ru 0.000 0.000 0.000 1